VASP calculation (PBE-GGA) on a relaxed structure of SrPm3In4.

For the mass density, the calculation gives 6.9 g/cm3. The formation energy comes out at -350 kJ/mol of formula units.

a = 5.5176 Å, b = 5.5176 Å, c = 7.7789 Å
α = 90.00°, β = 90.00°, γ = 90.00°
Closest atoms and distances in Å follow each position.
Space group P4/mmm (No. 123)
One atom of each set of equivalent atoms:
1 Sr 0.0000 0.0000 0.0000 [1 per cell]  8 In 3.41
2 Pm 0.0000 0.0000 0.5000 [1 per cell]  8 In 3.35
3 Pm 0.5000 0.5000 0.0000 [1 per cell]  8 In 3.41
4 Pm 0.5000 0.5000 0.5000 [1 per cell]  8 In 3.35
5 In 0.0000 0.5000 0.2568 [4 per cell]  6 Pm 3.35-3.41, 2 Sr 3.41

---

VASP calculation (PBE-GGA) on a relaxed structure of RbIrOs.

For the mass density, the calculation gives 5.4 g/cm3. The formation energy comes out at 596 kJ/mol of formula units.

a = 5.9969 Å, b = 5.9969 Å, c = 9.2246 Å
α = 90.00°, β = 90.00°, γ = 120.00°
Closest atoms and distances in Å follow each position.
Space group P6_3/mmc (No. 194)
One atom of each set of equivalent atoms:
1 Rb 0.3333 0.6667 0.2500 [2 per cell]  3 Os 3.46
2 Ir 0.0000 0.0000 0.0000 [2 per cell]  2 Os 2.31
3 Os 0.0000 0.0000 0.2500 [2 per cell]  2 Ir 2.31